Here is crystalline Sm3YPt8 at its relaxed geometry from the Alexandria database. Energies are from GGA-PBE.

Results
The size of the total moment comes out at 0.00 μB/f.u. Its space-group type is P3m1. The calculation puts the formation energy at -1036.2 meV/atom.

a = 5.4893 Å, b = 5.4893 Å, c = 8.9629 Å
α = 90.00°, β = 90.00°, γ = 120.00°
Element x y z (fractional)
Sm 0.0000 0.0000 0.0000
Sm 0.0000 0.0000 0.3710
Sm 0.3333 0.6667 0.8670
Y 0.3333 0.6667 0.4980
Pt 0.0045 0.5022 0.1851
Pt 0.3295 0.1647 0.6830
Pt 0.4978 0.5022 0.1851
Pt 0.4978 0.9955 0.1851
Pt 0.6667 0.3333 0.4343
Pt 0.6667 0.3333 0.9345
Pt 0.8353 0.1647 0.6830
Pt 0.8353 0.6705 0.6830